The following is a DFT calculation (GGA-PBE) of a geometry-optimized La2AsO structure.

Geometry as POSCAR:
```
La2AsO
1.0
-5.425 -4.503 -1.114
2.114 -0.874 -6.762
0.613 -5.694 -2.841
As O La
2 2 4
direct
0.000 0.000 0.000 As
0.750 0.250 0.500 As
0.500 0.500 0.000 O
0.250 0.750 0.500 O
0.554 0.125 0.250 La
0.196 0.625 0.250 La
0.375 0.446 0.750 La
0.875 0.804 0.750 La
```

Summary:
**Excess energy over the best structure of this formula in the dataset**: 0.1209 eV per atom
**Space group**: No. 122
**Crystal system**: tetragonal
**VASP energy**: -0.5030 Ry per atom


The following is a DFT calculation (GGA-PBE) of a geometry-optimized Rb2LiIBr2 structure.

Geometry as POSCAR:
```
Rb2LiIBr2
1.0
-3.238 2.045 -3.528
2.491 -2.575 -3.779
-5.341 -6.679 1.031
Rb Li I Br
2 1 1 2
direct
0.500 0.500 0.732 Rb
0.500 0.500 0.268 Rb
0.000 0.000 0.000 Li
0.000 0.000 0.500 I
0.500 0.000 0.000 Br
0.000 0.500 0.000 Br
```

Summary:
**Space group**: No. 123
**Crystal system**: tetragonal
**VASP energy**: -0.2181 Ry per atom


The following is a DFT calculation (GGA-PBE) of a geometry-optimized NaLi2Cd2Hg2 structure.

Geometry as POSCAR:
```
NaLi2Cd2Hg2
1.0
4.918 0.000 0.000
2.459 4.259 0.000
2.459 1.420 7.037
Na Li Cd Hg
1 2 2 2
direct
0.000 0.000 0.000 Na
0.143 0.143 0.571 Li
0.857 0.857 0.429 Li
0.722 0.722 0.833 Cd
0.278 0.278 0.167 Cd
0.572 0.572 0.285 Hg
0.428 0.428 0.715 Hg
```

Summary:
**Space group**: No. 166
**Crystal system**: trigonal
**VASP energy**: -0.0949 Ry per atom
**Energy of formation from the pure elements**: -1.46 eV/f.u.